1.
A relaxed SrSc2I crystal, computed with GGA-PBE. Values from VASP.

Cell and atoms, written as Quantum ESPRESSO input:
```
&SYSTEM
  ibrav = 0, nat = 4, ntyp = 3
/
ATOMIC_SPECIES
Sr 87.62 Sr.upf
Sc 44.96 Sc.upf
I 126.90 I.upf
ATOMIC_POSITIONS crystal
Sr 0.0000 0.0000 0.0000
Sc 0.4200 0.4200 0.4200
Sc 0.5800 0.5800 0.5800
I 0.5000 0.5000 0.5000
CELL_PARAMETERS angstrom
1.8773 1.0839 11.5923
-1.8773 1.0839 11.5923
0.0000 -2.1677 11.5923
```

## Properties
Final energy   -15.3 eV per cell
Spin magnetization   1.26 μB per formula unit
Fermi-level density of states   8.042 states/eV per cell
Crystal system   trigonal
Formation energy without anion corrections   0.14 eV/atom
Excess energy over the best structure of this formula in the dataset   61 meV/atom



2.
A relaxed Pr2Nd8Tm crystal, computed with GGA-PBE. Values from VASP.

Cell and atoms, written as Quantum ESPRESSO input:
```
&SYSTEM
  ibrav = 0, nat = 11, ntyp = 3
/
ATOMIC_SPECIES
Pr 140.91 Pr.upf
Nd 144.24 Nd.upf
Tm 168.93 Tm.upf
ATOMIC_POSITIONS crystal
Pr 0.1425 0.1425 0.1344
Pr 0.8575 0.8575 0.8656
Nd 0.2192 0.6508 0.2268
Nd 0.3096 0.3096 0.5023
Nd 0.3147 0.3147 0.8682
Nd 0.3492 0.7808 0.7732
Nd 0.6508 0.2192 0.2268
Nd 0.6853 0.6853 0.1318
Nd 0.6904 0.6904 0.4977
Nd 0.7808 0.3492 0.7732
Tm 0.0000 0.0000 0.5000
CELL_PARAMETERS angstrom
5.7150 -3.7530 0.0000
5.7150 3.7530 0.0000
-2.7296 0.0000 9.0614
```

## Properties
Final energy   -50.9 eV per cell
Spin magnetization   0.00 μB per formula unit
Fermi-level density of states   17.850 states/eV per cell
Crystal system   monoclinic
Energy relative to the elements   127 kJ/mol of formula units
Excess energy over the best structure of this formula in the dataset   0 meV/atom



3.
A relaxed Pr6Y3Sc crystal, computed with GGA-PBE. Values from VASP.

Cell and atoms, written as Quantum ESPRESSO input:
```
&SYSTEM
  ibrav = 0, nat = 20, ntyp = 3
/
ATOMIC_SPECIES
Pr 140.91 Pr.upf
Y 88.91 Y.upf
Sc 44.96 Sc.upf
ATOMIC_POSITIONS crystal
Pr 0.0751 0.1543 0.0775
Pr 0.0751 0.3457 0.5775
Pr 0.3821 0.0265 0.7543
Pr 0.3821 0.4735 0.2543
Pr 0.4244 0.1634 0.4239
Pr 0.4244 0.3366 0.9239
Pr 0.5756 0.6634 0.0761
Pr 0.5756 0.8366 0.5761
Pr 0.6179 0.5265 0.7457
Pr 0.6179 0.9735 0.2457
Pr 0.9249 0.6543 0.4225
Pr 0.9249 0.8457 0.9225
Y 0.0000 0.0000 0.5000
Y 0.0000 0.5000 0.0000
Y 0.1375 0.6761 0.7506
Y 0.1375 0.8239 0.2506
Y 0.8625 0.1761 0.7494
Y 0.8625 0.3239 0.2494
Sc 0.5000 0.0000 0.0000
Sc 0.5000 0.5000 0.5000
CELL_PARAMETERS angstrom
6.1736 0.0000 0.0000
0.0000 9.5073 0.0000
-6.0032 0.0000 11.6926
```

## Properties
Final energy   -105.3 eV per cell
Spin magnetization   0.00 μB per formula unit
Fermi-level density of states   26.045 states/eV per cell
Crystal system   monoclinic
Energy relative to the elements   171 kJ/mol of formula units
Excess energy over the best structure of this formula in the dataset   106 meV/atom



4.
A relaxed TiSbTe2H crystal, computed with GGA-PBE. Values from VASP.

Cell and atoms, written as Quantum ESPRESSO input:
```
&SYSTEM
  ibrav = 0, nat = 5, ntyp = 4
/
ATOMIC_SPECIES
Ti 47.87 Ti.upf
Sb 121.76 Sb.upf
Te 127.60 Te.upf
H 1.01 H.upf
ATOMIC_POSITIONS crystal
Ti 0.0000 0.0000 0.0000
Sb 0.5000 0.5000 0.0000
Te 0.0000 0.5000 0.5000
Te 0.5000 0.0000 0.5000
H 0.5000 0.5000 0.5000
CELL_PARAMETERS angstrom
5.3064 0.0000 0.0000
0.0000 5.3064 0.0000
0.0000 0.0000 3.7949
```

## Properties
Final energy   -20.0 eV per cell
Spin magnetization   1.43 μB per formula unit
Fermi-level density of states   3.707 states/eV per cell
Crystal system   tetragonal
Excess energy over the best structure of this formula in the dataset   0 meV/atom



5.
A relaxed SrEuGeAu crystal, computed with GGA-PBE. Values from VASP.

Cell and atoms, written as Quantum ESPRESSO input:
```
&SYSTEM
  ibrav = 0, nat = 4, ntyp = 4
/
ATOMIC_SPECIES
Sr 87.62 Sr.upf
Eu 151.96 Eu.upf
Ge 72.64 Ge.upf
Au 196.97 Au.upf
ATOMIC_POSITIONS crystal
Sr 0.0000 0.0000 0.0000
Eu 0.5000 0.5000 0.5000
Ge 0.2500 0.2500 0.2500
Au 0.7500 0.7500 0.7500
CELL_PARAMETERS angstrom
0.0000 3.7892 3.7892
3.7892 0.0000 3.7892
3.7892 3.7892 0.0000
```

## Properties
Final energy   -22.4 eV per cell
Spin magnetization   6.80 μB per formula unit
Fermi-level density of states   11.696 states/eV per cell
Crystal system   cubic
Energy relative to the elements   -246 kJ/mol of formula units



6.
A relaxed Pm2TmTe2S2 crystal, computed with GGA-PBE. Values from VASP.

Cell and atoms, written as Quantum ESPRESSO input:
```
&SYSTEM
  ibrav = 0, nat = 7, ntyp = 4
/
ATOMIC_SPECIES
Pm 145.00 Pm.upf
Tm 168.93 Tm.upf
Te 127.60 Te.upf
S 32.06 S.upf
ATOMIC_POSITIONS crystal
Pm 0.1153 0.1153 0.0000
Pm 0.8847 0.8847 0.0000
Tm 0.5000 0.5000 0.0000
Te 0.3143 0.3143 0.0000
Te 0.6857 0.6857 0.0000
S 0.0000 0.5000 0.5000
S 0.5000 0.0000 0.5000
CELL_PARAMETERS angstrom
-2.4995 2.4995 8.0006
2.4995 -2.4995 8.0006
2.4995 2.4995 -8.0006
```

## Properties
Final energy   -39.0 eV per cell
Spin magnetization   0.00 μB per formula unit
Fermi-level density of states   2.821 states/eV per cell
Crystal system   tetragonal
Formation energy without anion corrections   -1.50 eV/atom



7.
A relaxed BaPmIO6 crystal, computed with GGA-PBE. Values from VASP.

Cell and atoms, written as Quantum ESPRESSO input:
```
&SYSTEM
  ibrav = 0, nat = 9, ntyp = 4
/
ATOMIC_SPECIES
Ba 137.33 Ba.upf
Pm 145.00 Pm.upf
I 126.90 I.upf
O 16.00 O.upf
ATOMIC_POSITIONS crystal
Ba 0.0000 0.0000 0.0000
Pm 0.3333 0.6667 0.5000
I 0.6667 0.3333 0.5000
O 0.4035 0.0556 0.6972
O 0.4035 0.3479 0.3028
O 0.6521 0.0556 0.3028
O 0.6521 0.5965 0.6972
O 0.9444 0.3479 0.6972
O 0.9444 0.5965 0.3028
CELL_PARAMETERS angstrom
5.8045 0.0000 0.0000
-2.9022 5.0268 0.0000
0.0000 0.0000 5.5421
```

## Properties
Final energy   -54.6 eV per cell
Spin magnetization   0.00 μB per formula unit
Fermi-level density of states   0.000 states/eV per cell
Crystal system   trigonal
Formation energy without anion corrections   -1.84 eV/atom



8.
A relaxed Li3HgGe crystal, computed with GGA-PBE. Values from VASP.

Cell and atoms, written as Quantum ESPRESSO input:
```
&SYSTEM
  ibrav = 0, nat = 10, ntyp = 3
/
ATOMIC_SPECIES
Li 6.94 Li.upf
Hg 200.59 Hg.upf
Ge 72.64 Ge.upf
ATOMIC_POSITIONS crystal
Li 0.1266 0.0082 0.2384
Li 0.1266 0.4918 0.2384
Li 0.3007 0.2500 0.6028
Li 0.6993 0.7500 0.3972
Li 0.8734 0.5082 0.7616
Li 0.8734 0.9918 0.7616
Hg 0.4622 0.7500 0.9998
Hg 0.5378 0.2500 0.0002
Ge 0.2942 0.7500 0.5913
Ge 0.7058 0.2500 0.4087
CELL_PARAMETERS angstrom
4.3633 0.0000 0.0000
0.0000 5.8985 0.0000
-2.1137 0.0000 6.7883
```

## Properties
Final energy   -24.1 eV per cell
Spin magnetization   0.00 μB per formula unit
Fermi-level density of states   2.436 states/eV per cell
Crystal system   monoclinic
Energy relative to the elements   -132 kJ/mol of formula units
Excess energy over the best structure of this formula in the dataset   16 meV/atom



9.
A relaxed La2Tb2Sm4Ho crystal, computed with GGA-PBE. Values from VASP.

Cell and atoms, written as Quantum ESPRESSO input:
```
&SYSTEM
  ibrav = 0, nat = 9, ntyp = 4
/
ATOMIC_SPECIES
La 138.91 La.upf
Tb 158.93 Tb.upf
Sm 150.36 Sm.upf
Ho 164.93 Ho.upf
ATOMIC_POSITIONS crystal
La 0.1652 0.1652 0.4983
La 0.8348 0.8348 0.5017
Tb 0.3529 0.3529 0.8355
Tb 0.6471 0.6471 0.1645
Sm 0.0192 0.0192 0.8347
Sm 0.3141 0.3141 0.1648
Sm 0.6859 0.6859 0.8352
Sm 0.9808 0.9808 0.1653
Ho 0.5000 0.5000 0.5000
CELL_PARAMETERS angstrom
9.4887 -1.8329 0.0000
9.4887 1.8329 0.0000
-4.2068 0.0000 8.7571
```

## Properties
Final energy   -42.5 eV per cell
Spin magnetization   0.00 μB per formula unit
Fermi-level density of states   12.417 states/eV per cell
Crystal system   monoclinic
Energy relative to the elements   5 kJ/mol of formula units



10.
A relaxed Ba2Tl3Ge crystal, computed with GGA-PBE. Values from VASP.

Cell and atoms, written as Quantum ESPRESSO input:
```
&SYSTEM
  ibrav = 0, nat = 6, ntyp = 3
/
ATOMIC_SPECIES
Ba 137.33 Ba.upf
Tl 204.38 Tl.upf
Ge 72.64 Ge.upf
ATOMIC_POSITIONS crystal
Ba 0.0000 0.0000 0.0000
Ba 0.1206 0.1206 0.6144
Tl 0.3788 0.3788 0.2109
Tl 0.4081 0.4081 0.6268
Tl 0.7306 0.7306 0.3705
Ge 0.7119 0.7119 0.9836
CELL_PARAMETERS angstrom
6.3766 -2.4814 0.0000
6.3766 2.4814 0.0000
-5.1260 0.0000 6.4180
```

## Properties
Final energy   -17.8 eV per cell
Spin magnetization   0.00 μB per formula unit
Fermi-level density of states   3.583 states/eV per cell
Crystal system   monoclinic
Energy relative to the elements   -213 kJ/mol of formula units
Excess energy over the best structure of this formula in the dataset   0 meV/atom



11.
A relaxed ErScNi2 crystal, computed with GGA-PBE. Values from VASP.

Cell and atoms, written as Quantum ESPRESSO input:
```
&SYSTEM
  ibrav = 0, nat = 4, ntyp = 3
/
ATOMIC_SPECIES
Er 167.26 Er.upf
Sc 44.96 Sc.upf
Ni 58.69 Ni.upf
ATOMIC_POSITIONS crystal
Er 0.0000 0.0000 0.0000
Sc 0.5000 0.5000 0.0000
Ni 0.0000 0.5000 0.5000
Ni 0.5000 0.0000 0.5000
CELL_PARAMETERS angstrom
4.6415 0.0000 0.0000
0.0000 4.6415 0.0000
0.0000 0.0000 3.2067
```

## Properties
Final energy   -24.3 eV per cell
Spin magnetization   0.00 μB per formula unit
Fermi-level density of states   2.301 states/eV per cell
Crystal system   tetragonal
Energy relative to the elements   -174 kJ/mol of formula units
Excess energy over the best structure of this formula in the dataset   23 meV/atom



12.
A relaxed TiZnIO2 crystal, computed with GGA-PBE. Values from VASP.

Cell and atoms, written as Quantum ESPRESSO input:
```
&SYSTEM
  ibrav = 0, nat = 5, ntyp = 4
/
ATOMIC_SPECIES
Ti 47.87 Ti.upf
Zn 65.41 Zn.upf
I 126.90 I.upf
O 16.00 O.upf
ATOMIC_POSITIONS crystal
Ti 0.0000 0.0000 0.0000
Zn 0.5000 0.5000 0.5000
I 0.5000 0.5000 0.0000
O 0.0000 0.5000 0.5000
O 0.5000 0.0000 0.5000
CELL_PARAMETERS angstrom
3.9774 0.0000 0.0000
0.0000 3.9774 0.0000
0.0000 0.0000 5.3165
```

## Properties
Final energy   -20.8 eV per cell
Spin magnetization   0.52 μB per formula unit
Fermi-level density of states   5.468 states/eV per cell
Crystal system   tetragonal
Formation energy without anion corrections   -0.02 eV/atom
Excess energy over the best structure of this formula in the dataset   1276 meV/atom